No. 1
{"formula": "Dy5HoTm8", "functional": "PBE-GGA", "state": "optimized geometry", "volume_a3_per_atom": 31.600, "formation_enthalpy_0k_ev_per_atom": 0.2554, "total_energy_ev_per_atom": -4.2703, "cell": [[7.9207, 0.0000, -2.5426], [-4.0376, 6.6755, -2.8874], [0.1545, 0.0000, 8.3173]], "species": ["Dy", "Dy", "Dy", "Dy", "Dy", "Ho", "Tm", "Tm", "Tm", "Tm", "Tm", "Tm", "Tm", "Tm"], "frac_coords": [[0.0345, 0.3246, 0.1347], [0.8653, 0.8998, 0.1898], [0.8102, 0.6754, 0.7099], [0.5000, 0.0000, 0.5000], [0.2901, 0.1002, 0.9655], [0.2500, 0.5000, 0.7500], [0.1618, 0.7381, 0.0790], [0.9210, 0.0828, 0.6591], [0.7311, 0.2538, 0.3359], [0.6641, 0.3952, 0.9179], [0.5226, 0.6048, 0.2689], [0.5763, 0.9172, 0.8382], [0.3409, 0.2619, 0.4237], [0.0821, 0.7462, 0.4774]]}

***

No. 2
{"formula": "DyHo6Tm4", "functional": "PBE-GGA", "state": "optimized geometry", "polymorph_energy_ev_per_atom": 0.000, "volume_a3_per_atom": 30.805, "formation_enthalpy_0k_ev_per_atom": 0.1287, "total_energy_ev_per_atom": -4.4126, "cell": [[-1.2940, -5.1384, -1.7729], [3.2581, 0.6918, 4.4222], [-20.4267, -0.0515, 15.0577]], "species": ["Dy", "Dy", "Ho", "Ho", "Ho", "Ho", "Ho", "Ho", "Ho", "Ho", "Ho", "Ho", "Ho", "Ho", "Tm", "Tm", "Tm", "Tm", "Tm", "Tm", "Tm", "Tm"], "frac_coords": [[0.8220, 0.6440, 0.2500], [0.1780, 0.3560, 0.7500], [0.5000, 0.0000, 0.0000], [0.5000, 0.0000, 0.5000], [0.1542, 0.3083, 0.3186], [0.8458, 0.6917, 0.6814], [0.8458, 0.6917, 0.8186], [0.1542, 0.3083, 0.1814], [0.8214, 0.6429, 0.3969], [0.1786, 0.3571, 0.6031], [0.1786, 0.3571, 0.8969], [0.8214, 0.6429, 0.1031], [0.4880, 0.9760, 0.2500], [0.5120, 0.0240, 0.7500], [0.8380, 0.6759, 0.5423], [0.4858, 0.9716, 0.1215], [0.1620, 0.3241, 0.4577], [0.5142, 0.0284, 0.8785], [0.8380, 0.6759, 0.9577], [0.1620, 0.3241, 0.0423], [0.5142, 0.0284, 0.6215], [0.4858, 0.9716, 0.3785]]}

***

No. 3
{"formula": "DyHo8Tm5", "functional": "PBE-GGA", "state": "optimized geometry", "volume_a3_per_atom": 31.762, "formation_enthalpy_0k_ev_per_atom": 0.2589, "total_energy_ev_per_atom": -4.2827, "cell": [[-0.9973, 2.5886, -7.8593], [-6.3562, -4.8307, 2.3937], [0.4694, 6.8757, 4.6870]], "species": ["Dy", "Ho", "Ho", "Ho", "Ho", "Ho", "Ho", "Ho", "Ho", "Tm", "Tm", "Tm", "Tm", "Tm"], "frac_coords": [[0.2500, 0.5000, 0.7500], [0.1623, 0.7376, 0.0800], [0.9200, 0.0823, 0.6576], [0.7281, 0.2541, 0.3340], [0.6660, 0.3941, 0.9201], [0.5260, 0.6059, 0.2719], [0.5753, 0.9177, 0.8377], [0.3424, 0.2624, 0.4247], [0.0799, 0.7459, 0.4740], [0.0368, 0.3205, 0.1341], [0.8659, 0.9026, 0.1864], [0.8136, 0.6795, 0.7163], [0.5000, 0.0000, 0.5000], [0.2837, 0.0974, 0.9632]]}

***

No. 4
{"formula": "Dy6HoTm4", "functional": "PBE-GGA", "state": "optimized geometry", "polymorph_energy_ev_per_atom": 0.000, "volume_a3_per_atom": 31.007, "formation_enthalpy_0k_ev_per_atom": 0.1279, "total_energy_ev_per_atom": -4.4245, "cell": [[-2.0644, -1.6427, -4.9610], [3.5488, -3.2309, 2.7751], [-19.4746, -11.2347, 11.8239]], "species": ["Dy", "Dy", "Dy", "Dy", "Dy", "Dy", "Dy", "Dy", "Dy", "Dy", "Dy", "Dy", "Ho", "Ho", "Tm", "Tm", "Tm", "Tm", "Tm", "Tm", "Tm", "Tm"], "frac_coords": [[0.5000, 0.0000, 0.0000], [0.5000, 0.0000, 0.5000], [0.1469, 0.2937, 0.3185], [0.8531, 0.7063, 0.6815], [0.8531, 0.7063, 0.8185], [0.1469, 0.2937, 0.1815], [0.8147, 0.6294, 0.3967], [0.1853, 0.3706, 0.6033], [0.1853, 0.3706, 0.8967], [0.8147, 0.6294, 0.1033], [0.4807, 0.9614, 0.2500], [0.5193, 0.0386, 0.7500], [0.8150, 0.6300, 0.2500], [0.1850, 0.3700, 0.7500], [0.8409, 0.6818, 0.5428], [0.4778, 0.9556, 0.1217], [0.1591, 0.3182, 0.4572], [0.5222, 0.0444, 0.8783], [0.8409, 0.6818, 0.9572], [0.1591, 0.3182, 0.0428], [0.5222, 0.0444, 0.6217], [0.4778, 0.9556, 0.3783]]}

***

No. 5
{"formula": "Dy7Ho12Tm", "functional": "PBE-GGA", "state": "optimized geometry", "polymorph_energy_ev_per_atom": 0.000, "volume_a3_per_atom": 31.515, "formation_enthalpy_0k_ev_per_atom": 0.2994, "total_energy_ev_per_atom": -4.2816, "cell": [[-7.0183, 4.9851, 0.0423], [-1.8145, -3.7816, -7.5177], [-3.4753, -6.2244, 4.8258]], "species": ["Dy", "Dy", "Dy", "Dy", "Dy", "Dy", "Dy", "Ho", "Ho", "Ho", "Ho", "Ho", "Ho", "Ho", "Ho", "Ho", "Ho", "Ho", "Ho", "Tm"], "frac_coords": [[0.9154, 0.6471, 0.9784], [0.3529, 0.0216, 0.0846], [0.0216, 0.0846, 0.3529], [0.5000, 0.5000, 0.5000], [0.9784, 0.9154, 0.6471], [0.6471, 0.9784, 0.9154], [0.0846, 0.3529, 0.0216], [0.8147, 0.2499, 0.6869], [0.7501, 0.3131, 0.1853], [0.4805, 0.1480, 0.4169], [0.8520, 0.5831, 0.5195], [0.3131, 0.1853, 0.7501], [0.5831, 0.5195, 0.8520], [0.4169, 0.4805, 0.1480], [0.6869, 0.8147, 0.2499], [0.1480, 0.4169, 0.4805], [0.5195, 0.8520, 0.5831], [0.2499, 0.6869, 0.8147], [0.1853, 0.7501, 0.3131], [0.0000, 0.0000, 0.0000]]}

***

No. 6
{"formula": "Dy3Ho7Tm", "functional": "PBE-GGA", "state": "optimized geometry", "polymorph_energy_ev_per_atom": 0.000, "volume_a3_per_atom": 31.620, "formation_enthalpy_0k_ev_per_atom": 0.1511, "total_energy_ev_per_atom": -4.4237, "cell": [[2.3825, 2.4261, -4.2835], [3.6973, -8.6957, -2.8726], [-8.5726, -1.3392, 1.4576]], "species": ["Dy", "Dy", "Dy", "Ho", "Ho", "Ho", "Ho", "Ho", "Ho", "Ho", "Tm"], "frac_coords": [[0.2810, 0.0019, 0.7811], [0.0000, 0.5000, 0.0000], [0.7190, 0.9981, 0.2189], [0.9111, 0.8299, 0.9111], [0.8563, 0.7093, 0.3564], [0.6813, 0.3606, 0.1813], [0.3187, 0.6394, 0.8187], [0.5000, 0.0000, 0.5000], [0.1437, 0.2907, 0.6436], [0.0889, 0.1701, 0.0889], [0.5000, 0.5000, 0.5000]]}

***

No. 7
{"formula": "Dy12Ho2Tm", "functional": "PBE-GGA", "state": "optimized geometry", "volume_a3_per_atom": 31.529, "formation_enthalpy_0k_ev_per_atom": 0.1185, "total_energy_ev_per_atom": -4.4717, "cell": [[6.2250, -1.3218, 0.7684], [-1.3218, 6.2250, 0.7684], [2.3062, 2.3062, 26.2843]], "species": ["Dy", "Dy", "Dy", "Dy", "Dy", "Dy", "Dy", "Dy", "Dy", "Dy", "Dy", "Dy", "Dy", "Dy", "Dy", "Dy", "Dy", "Dy", "Dy", "Dy", "Dy", "Dy", "Dy", "Dy", "Ho", "Ho", "Ho", "Ho", "Tm", "Tm"], "frac_coords": [[0.2583, 0.2583, 0.7948], [0.7583, 0.7583, 0.7948], [0.5867, 0.5867, 0.9314], [0.1726, 0.6726, 0.8629], [0.0795, 0.0795, 0.3341], [0.3274, 0.8274, 0.1371], [0.7837, 0.2837, 0.5742], [0.5795, 0.5795, 0.3341], [0.0867, 0.0867, 0.9314], [0.9133, 0.9133, 0.0686], [0.3095, 0.3095, 0.5536], [0.7163, 0.2163, 0.4258], [0.9205, 0.9205, 0.6659], [0.1905, 0.1905, 0.4464], [0.4133, 0.4133, 0.0686], [0.6905, 0.6905, 0.4464], [0.8095, 0.8095, 0.5536], [0.2417, 0.2417, 0.2052], [0.2837, 0.7837, 0.5742], [0.4205, 0.4205, 0.6659], [0.6726, 0.1726, 0.8629], [0.7417, 0.7417, 0.2052], [0.2163, 0.7163, 0.4258], [0.8274, 0.3274, 0.1371], [0.6468, 0.1468, 0.2805], [0.1468, 0.6468, 0.2805], [0.8532, 0.3532, 0.7195], [0.3532, 0.8532, 0.7195], [0.5000, 0.0000, 0.0000], [0.0000, 0.5000, 0.0000]]}

***

No. 8
{"formula": "Dy2Ho2Tm", "functional": "PBE-GGA", "state": "optimized geometry", "polymorph_energy_ev_per_atom": 0.046, "volume_a3_per_atom": 31.277, "formation_enthalpy_0k_ev_per_atom": 0.1460, "total_energy_ev_per_atom": -4.4203, "cell": [[5.6047, 0.0000, 0.0000], [0.0000, 3.5588, 0.0000], [-2.8023, -1.7794, 15.6808]], "species": ["Dy", "Dy", "Dy", "Dy", "Ho", "Ho", "Ho", "Ho", "Tm", "Tm"], "frac_coords": [[0.5424, 0.2924, 0.0847], [0.9422, 0.1922, 0.8843], [0.4576, 0.7076, 0.9153], [0.0578, 0.8078, 0.1157], [0.7283, 0.9783, 0.4566], [0.2717, 0.0217, 0.5434], [0.3699, 0.1199, 0.7398], [0.6301, 0.8801, 0.2602], [0.8275, 0.5775, 0.6550], [0.1725, 0.4225, 0.3450]]}

***

No. 9
{"formula": "Dy4Ho6Tm", "functional": "PBE-GGA", "state": "optimized geometry", "polymorph_energy_ev_per_atom": 0.318, "volume_a3_per_atom": 33.355, "formation_enthalpy_0k_ev_per_atom": 0.4498, "total_energy_ev_per_atom": -4.1272, "cell": [[-6.7099, -3.0351, 1.2103], [2.8651, -6.7941, -1.1537], [3.3090, 4.4092, 6.3916]], "species": ["Dy", "Dy", "Dy", "Dy", "Ho", "Ho", "Ho", "Ho", "Ho", "Ho", "Tm"], "frac_coords": [[0.0890, 0.7539, 0.8429], [0.9110, 0.9110, 0.1571], [0.7539, 0.0890, 0.8429], [0.2461, 0.2461, 0.1571], [0.9192, 0.4507, 0.3699], [0.4507, 0.9192, 0.3699], [0.5493, 0.5493, 0.6301], [0.0000, 0.5000, 0.0000], [0.0808, 0.0808, 0.6301], [0.5000, 0.0000, 0.0000], [0.5000, 0.5000, 0.0000]]}

***

No. 10
{"formula": "DyHo4Tm3", "functional": "PBE-GGA", "state": "optimized geometry", "polymorph_energy_ev_per_atom": 0.000, "volume_a3_per_atom": 30.880, "formation_enthalpy_0k_ev_per_atom": -0.0003, "total_energy_ev_per_atom": -4.5412, "cell": [[-3.7398, 4.6825, 1.6115], [-3.4282, -4.3196, 4.5957], [7.0909, 2.9037, 8.0187]], "species": ["Dy", "Dy", "Ho", "Ho", "Ho", "Ho", "Ho", "Ho", "Ho", "Ho", "Tm", "Tm", "Tm", "Tm", "Tm", "Tm"], "frac_coords": [[0.1481, 0.3755, 0.0000], [0.6481, 0.6245, 0.5000], [0.1468, 0.8744, 0.0000], [0.6483, 0.1259, 0.0000], [0.9810, 0.1255, 0.2508], [0.4810, 0.8745, 0.2492], [0.1483, 0.8741, 0.5000], [0.6468, 0.1256, 0.5000], [0.4810, 0.8745, 0.7508], [0.9810, 0.1255, 0.7492], [0.6478, 0.6243, 0.0000], [0.9811, 0.6245, 0.2499], [0.4811, 0.3755, 0.2501], [0.1478, 0.3757, 0.5000], [0.4811, 0.3755, 0.7499], [0.9811, 0.6245, 0.7501]]}

***

No. 11
{"formula": "Dy12HoTm7", "functional": "PBE-GGA", "state": "optimized geometry", "polymorph_energy_ev_per_atom": 0.000, "volume_a3_per_atom": 31.503, "formation_enthalpy_0k_ev_per_atom": 0.3054, "total_energy_ev_per_atom": -4.2497, "cell": [[-3.4660, -7.7830, 1.2246], [3.5037, 0.4993, 7.8462], [-7.1370, 4.3326, 2.0929]], "species": ["Dy", "Dy", "Dy", "Dy", "Dy", "Dy", "Dy", "Dy", "Dy", "Dy", "Dy", "Dy", "Ho", "Tm", "Tm", "Tm", "Tm", "Tm", "Tm", "Tm"], "frac_coords": [[0.8139, 0.2496, 0.6865], [0.7504, 0.3135, 0.1861], [0.4772, 0.1473, 0.4153], [0.8527, 0.5847, 0.5228], [0.3135, 0.1861, 0.7504], [0.5847, 0.5228, 0.8527], [0.4153, 0.4772, 0.1473], [0.6865, 0.8139, 0.2496], [0.1473, 0.4153, 0.4772], [0.5228, 0.8527, 0.5847], [0.2496, 0.6865, 0.8139], [0.1861, 0.7504, 0.3135], [0.0000, 0.0000, 0.0000], [0.9173, 0.6489, 0.9795], [0.3511, 0.0205, 0.0827], [0.0205, 0.0827, 0.3511], [0.5000, 0.5000, 0.5000], [0.9795, 0.9173, 0.6489], [0.6489, 0.9795, 0.9173], [0.0827, 0.3511, 0.0205]]}

***

No. 12
{"formula": "DyHo12Tm5", "functional": "PBE-GGA", "state": "optimized geometry", "volume_a3_per_atom": 31.236, "formation_enthalpy_0k_ev_per_atom": 0.1475, "total_energy_ev_per_atom": -4.4021, "cell": [[-7.7974, -2.4914, 4.9398], [-6.6657, -5.8553, -4.2226], [3.3118, -5.4901, 2.4121]], "species": ["Dy", "Ho", "Ho", "Ho", "Ho", "Ho", "Ho", "Ho", "Ho", "Ho", "Ho", "Ho", "Ho", "Tm", "Tm", "Tm", "Tm", "Tm"], "frac_coords": [[0.0000, 0.0000, 0.0000], [0.8373, 0.0000, 0.4803], [0.1627, 0.0000, 0.5197], [0.3420, 0.0000, 0.9526], [0.6580, 0.0000, 0.0474], [0.4892, 0.6580, 0.7387], [0.8529, 0.6580, 0.2613], [0.1472, 0.3420, 0.7387], [0.5108, 0.3420, 0.2613], [0.5312, 0.2969, 0.7498], [0.8281, 0.7031, 0.7498], [0.1719, 0.2969, 0.2502], [0.4688, 0.7031, 0.2502], [0.5000, 0.0000, 0.5000], [0.1898, 0.6204, 0.5000], [0.8102, 0.3796, 0.5000], [0.8063, 0.3874, 0.0000], [0.1937, 0.6126, 0.0000]]}